Computed, not measured: CoAg2HgF8 after structural relaxation at the GGA+U level of DFT.

Calculated values
Calculated total energy (eV/atom): -3.5723
Magnetic moment (μB per formula unit): 5.093

CIF file:
```
data_CoAg2HgF8
_cell_length_a 5.567
_cell_length_b 5.567
_cell_length_c 11.355
_cell_angle_alpha 90.00
_cell_angle_beta 90.00
_cell_angle_gamma 90.00
_symmetry_space_group_name_H-M 'I -4'
_symmetry_Int_Tables_number 82
_symmetry_space_group_name_Hall 'I -4'
loop_
_atom_site_label
_atom_site_fract_x
_atom_site_fract_y
_atom_site_fract_z
Co1 0.000 0.000 0.000
Ag1 0.000 0.000 0.500
Ag2 0.000 0.500 0.750
Hg1 0.000 0.500 0.250
F1 0.186 0.191 0.095
F2 0.197 0.802 0.652
```